No. 1
AlTlO3: relaxed, PBE. Values from VASP.

Geometry as Quantum ESPRESSO input:
```
&SYSTEM
  ibrav = 0, nat = 5, ntyp = 3
/
ATOMIC_SPECIES
Al 26.98 Al.upf
Tl 204.38 Tl.upf
O 16.00 O.upf
ATOMIC_POSITIONS angstrom
Al 0.0000 0.0000 0.0000
Tl 2.0822 2.0822 2.0822
O 0.0000 2.0822 2.0822
O 2.0822 0.0000 2.0822
O 2.0822 2.0822 0.0000
CELL_PARAMETERS angstrom
4.1644 0.0000 0.0000
0.0000 4.1644 0.0000
0.0000 0.0000 4.1644
```

E_form (uncorrected) = 0.41 eV per formula unit
symmetry = Pm-3m (221)
volume = 14.44 Å³/atom
spin magnetization = 0.000 μB per atom
calculated density = 6.42 g/cm3
final energy = -4.11 eV per atom

No. 2
LaDyCdSi: relaxed, PBE. Values from VASP.

Geometry as Quantum ESPRESSO input:
```
&SYSTEM
  ibrav = 0, nat = 4, ntyp = 4
/
ATOMIC_SPECIES
La 138.91 La.upf
Dy 162.50 Dy.upf
Cd 112.41 Cd.upf
Si 28.09 Si.upf
ATOMIC_POSITIONS angstrom
La 0.0000 0.0000 0.0000
Dy 3.7075 3.7075 3.7075
Cd 1.8538 1.8538 1.8538
Si 5.5613 5.5613 5.5613
CELL_PARAMETERS angstrom
0.0000 3.7075 3.7075
3.7075 0.0000 3.7075
3.7075 3.7075 0.0000
```

E_form (uncorrected) = -1.58 eV per formula unit
symmetry = F-43m (216)
volume = 25.48 Å³/atom
spin magnetization = 0.000 μB per atom
calculated density = 7.20 g/cm3
final energy = -4.36 eV per atom

No. 3
SnBiAuN: relaxed, PBE. Values from VASP.

Geometry as Quantum ESPRESSO input:
```
&SYSTEM
  ibrav = 0, nat = 4, ntyp = 4
/
ATOMIC_SPECIES
Sn 118.71 Sn.upf
Bi 208.98 Bi.upf
Au 196.97 Au.upf
N 14.01 N.upf
ATOMIC_POSITIONS angstrom
Sn 0.0000 0.0000 0.0000
Bi 1.6339 1.7403 2.5046
Au 4.0655 0.0000 2.6777
N 1.2444 1.7403 0.2982
CELL_PARAMETERS angstrom
4.9588 0.0000 0.0000
0.0000 3.4806 0.0000
-0.4422 0.0000 5.4213
```

E_form (uncorrected) = 1.10 eV per formula unit
symmetry = Pm (6)
volume = 23.39 Å³/atom
spin magnetization = 0.000 μB per atom
calculated density = 9.56 g/cm3
final energy = -4.60 eV per atom

No. 4
Pm2NdEr: relaxed, PBE. Values from VASP.

Geometry as Quantum ESPRESSO input:
```
&SYSTEM
  ibrav = 0, nat = 4, ntyp = 3
/
ATOMIC_SPECIES
Pm 145.00 Pm.upf
Nd 144.24 Nd.upf
Er 167.26 Er.upf
ATOMIC_POSITIONS angstrom
Pm 0.0000 0.0000 0.0000
Pm 0.0000 2.9851 2.9071
Nd 0.0000 0.0000 5.7870
Er 1.8700 0.0000 2.8864
CELL_PARAMETERS angstrom
-1.8700 2.9851 6.0506
1.8700 -2.9851 6.0506
1.8700 2.9851 -6.0506
```

symmetry = Imm2 (44)
formation energy = 0.11 eV per atom
volume = 33.77 Å³/atom
spin magnetization = 0.000 μB per atom
calculated density = 7.39 g/cm3
final energy = -4.60 eV per atom